Material: SrY2Cr
Method: DFT, GGA-PBE
State: optimized geometry

The space group is R-3m (No. 166, hexagonal axes) and the conventional cell measures 3.7197, 3.7197 and 32.7189 Å, with angles of 90.00, 90.00 and 120.00 degrees. The inequivalent atoms are Sr at (0.0000, 0.0000, 0.0000), Y at (0.0000, 0.0000, 0.2296) and Cr at (0.0000, 0.0000, 0.5000).

The magnetic moment comes out at 10.038 μB/cell. As for the energy above the lowest structure with this stoichiometry: 185 meV per atom. As for the formation energy: 0.4603 eV/atom. For the total energy, the calculation gives -0.4115 Ry/atom.